Entry 1:
{
  "formula": "LaTbNi",
  "functional": "PBE",
  "state": "optimized geometry",
  "m_tot_mub_per_cell": 0.00,
  "space_group": "F-43m",
  "e_form_ev_per_fu": -0.27,
  "lattice_angstrom": [[0.000, 3.447, 3.447], [3.447, 0.000, 3.447], [3.447, 3.447, 0.000]],
  "species": ["La", "Tb", "Ni"],
  "fractional_positions": [[0.000, 0.000, 0.000], [0.500, 0.500, 0.500], [0.750, 0.750, 0.750]]
}



Entry 2:
{
  "formula": "CsAcCrN3",
  "functional": "PBE",
  "state": "optimized geometry",
  "m_tot_mub_per_cell": 0.00,
  "space_group": "C2/m",
  "raw_formation_energy_ev_per_atom": -0.3371,
  "lattice_angstrom": [[7.154, -1.924, 0.000], [7.154, 1.924, 0.000], [-1.864, 0.000, 8.541]],
  "species": ["Cs", "Cs", "Ac", "Ac", "Cr", "Cr", "N", "N", "N", "N", "N", "N"],
  "fractional_positions": [[0.133, 0.133, 0.075], [0.867, 0.867, 0.925], [0.157, 0.157, 0.601], [0.843, 0.843, 0.399], [0.482, 0.482, 0.653], [0.518, 0.518, 0.347], [0.020, 0.020, 0.365], [0.350, 0.350, 0.628], [0.401, 0.401, 0.228], [0.599, 0.599, 0.772], [0.650, 0.650, 0.372], [0.980, 0.980, 0.635]]
}



Entry 3:
{
  "formula": "AsBr2Cl",
  "functional": "PBE",
  "state": "optimized geometry",
  "m_tot_mub_per_cell": 0.71,
  "space_group": "R-3m",
  "raw_formation_energy_ev_per_atom": 0.3413,
  "lattice_angstrom": [[1.597, 0.922, 12.167], [-1.597, 0.922, 12.167], [0.000, -1.844, 12.167]],
  "species": ["As", "Br", "Br", "Cl"],
  "fractional_positions": [[0.000, 0.000, 0.000], [0.071, 0.071, 0.071], [0.929, 0.929, 0.929], [0.500, 0.500, 0.500]]
}



Entry 4:
{
  "formula": "Ta2CdOs",
  "functional": "PBE",
  "state": "optimized geometry",
  "m_tot_mub_per_cell": 0.00,
  "space_group": "Immm",
  "e_form_ev_per_fu": 0.77,
  "lattice_angstrom": [[-1.688, 2.294, 4.536], [1.688, -2.294, 4.536], [1.688, 2.294, -4.536]],
  "species": ["Ta", "Ta", "Cd", "Os"],
  "fractional_positions": [[0.231, 0.231, 0.000], [0.769, 0.769, 0.000], [0.500, 0.000, 0.500], [0.000, 0.500, 0.500]]
}



Entry 5:
{
  "formula": "AcZn2Ag",
  "functional": "PBE",
  "state": "optimized geometry",
  "m_tot_mub_per_cell": 0.00,
  "space_group": "Pnma",
  "e_form_ev_per_fu": -1.09,
  "lattice_angstrom": [[7.323, 0.000, 0.000], [0.000, 4.641, 0.000], [0.000, 0.000, 10.762]],
  "species": ["Ac", "Ac", "Ac", "Ac", "Zn", "Zn", "Zn", "Zn", "Zn", "Zn", "Zn", "Zn", "Ag", "Ag", "Ag", "Ag"],
  "fractional_positions": [[0.220, 0.250, 0.166], [0.280, 0.750, 0.666], [0.720, 0.250, 0.334], [0.780, 0.750, 0.834], [0.092, 0.250, 0.861], [0.211, 0.750, 0.959], [0.289, 0.250, 0.459], [0.408, 0.750, 0.361], [0.592, 0.250, 0.639], [0.711, 0.750, 0.541], [0.789, 0.250, 0.041], [0.908, 0.750, 0.139], [0.035, 0.750, 0.399], [0.465, 0.250, 0.899], [0.535, 0.750, 0.101], [0.965, 0.250, 0.601]]
}



Entry 6:
{
  "formula": "Tb9Nd4Al11",
  "functional": "PBE",
  "state": "optimized geometry",
  "m_tot_mub_per_cell": 0.00,
  "space_group": "Cmmm",
  "e_form_ev_per_fu": -7.56,
  "lattice_angstrom": [[7.780, -11.302, 0.000], [7.780, 11.302, 0.000], [0.000, 0.000, 3.401]],
  "species": ["Tb", "Tb", "Tb", "Tb", "Tb", "Tb", "Tb", "Tb", "Tb", "Nd", "Nd", "Nd", "Nd", "Al", "Al", "Al", "Al", "Al", "Al", "Al", "Al", "Al", "Al", "Al"],
  "fractional_positions": [[0.000, 0.000, 0.000], [0.110, 0.665, 0.000], [0.296, 0.493, 0.000], [0.335, 0.890, 0.000], [0.493, 0.296, 0.000], [0.507, 0.704, 0.000], [0.665, 0.110, 0.000], [0.704, 0.507, 0.000], [0.890, 0.335, 0.000], [0.098, 0.262, 0.000], [0.262, 0.098, 0.000], [0.738, 0.902, 0.000], [0.902, 0.738, 0.000], [0.088, 0.465, 0.500], [0.121, 0.879, 0.500], [0.310, 0.310, 0.500], [0.310, 0.690, 0.500], [0.465, 0.088, 0.500], [0.500, 0.500, 0.500], [0.535, 0.912, 0.500], [0.690, 0.310, 0.500], [0.690, 0.690, 0.500], [0.879, 0.121, 0.500], [0.912, 0.535, 0.500]]
}



Entry 7:
{
  "formula": "MnMoOs3",
  "functional": "PBE",
  "state": "optimized geometry",
  "m_tot_mub_per_cell": 1.94,
  "space_group": "Pm-3m",
  "e_form_ev_per_fu": 8.53,
  "lattice_angstrom": [[4.384, 0.000, 0.000], [0.000, 4.384, 0.000], [0.000, 0.000, 4.384]],
  "species": ["Mn", "Mo", "Os", "Os", "Os"],
  "fractional_positions": [[0.000, 0.000, 0.000], [0.500, 0.500, 0.500], [0.000, 0.000, 0.500], [0.000, 0.500, 0.000], [0.500, 0.000, 0.000]]
}



Entry 8:
{
  "formula": "W2SeCl",
  "functional": "PBE",
  "state": "optimized geometry",
  "m_tot_mub_per_cell": 0.06,
  "space_group": "Pmmm",
  "raw_formation_energy_ev_per_atom": 0.9696,
  "lattice_angstrom": [[2.872, 0.000, 0.000], [0.000, 4.300, 0.000], [0.000, 0.000, 5.609]],
  "species": ["W", "W", "Se", "Cl"],
  "fractional_positions": [[0.000, 0.000, 0.000], [0.500, 0.000, 0.500], [0.000, 0.500, 0.500], [0.500, 0.500, 0.000]]
}



Entry 9:
{
  "formula": "Ce2NpUAs4",
  "functional": "PBE",
  "state": "optimized geometry",
  "m_tot_mub_per_cell": 7.89,
  "space_group": "P2/m",
  "e_form_ev_per_fu": -8.50,
  "lattice_angstrom": [[7.170, 0.000, 0.000], [0.000, 4.148, 0.000], [-2.398, 0.000, 6.842]],
  "species": ["Ce", "Ce", "Np", "U", "As", "As", "As", "As"],
  "fractional_positions": [[0.000, 0.000, 0.000], [0.500, 0.500, 0.000], [0.000, 0.500, 0.500], [0.500, 0.000, 0.500], [0.249, 0.000, 0.742], [0.254, 0.500, 0.259], [0.746, 0.500, 0.741], [0.751, 0.000, 0.258]]
}



Entry 10:
{
  "formula": "Rb3BaMo",
  "functional": "PBE",
  "state": "optimized geometry",
  "m_tot_mub_per_cell": 5.10,
  "space_group": "Pm-3m",
  "e_form_ev_per_fu": 5.70,
  "lattice_angstrom": [[7.232, 0.000, 0.000], [0.000, 7.232, 0.000], [0.000, 0.000, 7.232]],
  "species": ["Rb", "Rb", "Rb", "Ba", "Mo"],
  "fractional_positions": [[0.000, 0.000, 0.500], [0.000, 0.500, 0.000], [0.500, 0.000, 0.000], [0.500, 0.500, 0.500], [0.000, 0.000, 0.000]]
}



Entry 11:
{
  "formula": "RbPdBr3",
  "functional": "PBE",
  "state": "optimized geometry",
  "m_tot_mub_per_cell": 0.00,
  "space_group": "Fd-3m",
  "raw_formation_energy_ev_per_atom": -0.7758,
  "lattice_angstrom": [[0.000, 6.976, 6.976], [6.976, 0.000, 6.976], [6.976, 6.976, 0.000]],
  "species": ["Rb", "Rb", "Rb", "Rb", "Pd", "Pd", "Pd", "Pd", "Br", "Br", "Br", "Br", "Br", "Br", "Br", "Br", "Br", "Br", "Br", "Br"],
  "fractional_positions": [[0.000, 0.000, 0.000], [0.000, 0.000, 0.500], [0.000, 0.500, 0.000], [0.500, 0.000, 0.000], [0.000, 0.500, 0.500], [0.500, 0.000, 0.500], [0.500, 0.500, 0.000], [0.500, 0.500, 0.500], [0.180, 0.180, 0.570], [0.180, 0.570, 0.180], [0.180, 0.570, 0.570], [0.430, 0.430, 0.820], [0.430, 0.820, 0.430], [0.430, 0.820, 0.820], [0.570, 0.180, 0.180], [0.570, 0.180, 0.570], [0.570, 0.570, 0.180], [0.820, 0.430, 0.430], [0.820, 0.430, 0.820], [0.820, 0.820, 0.430]]
}



Entry 12:
{
  "formula": "Th2ScGa4Au3",
  "functional": "PBE",
  "state": "optimized geometry",
  "m_tot_mub_per_cell": 0.00,
  "space_group": "P-4m2",
  "e_form_ev_per_fu": -5.97,
  "lattice_angstrom": [[4.307, 0.000, 0.000], [0.000, 4.307, 0.000], [0.000, 0.000, 11.411]],
  "species": ["Th", "Th", "Sc", "Ga", "Ga", "Ga", "Ga", "Au", "Au", "Au"],
  "fractional_positions": [[0.000, 0.500, 0.244], [0.500, 0.000, 0.756], [0.000, 0.000, 0.500], [0.000, 0.000, 0.000], [0.000, 0.500, 0.647], [0.500, 0.000, 0.353], [0.500, 0.500, 0.000], [0.000, 0.500, 0.869], [0.500, 0.000, 0.131], [0.500, 0.500, 0.500]]
}



| no. | uncorrected energy (eV for the cell shown) | D(E_F) (states/eV per atom) | V (Å³ per cell) |
| --- | --- | --- | --- |
| 1 | -15.6 | 1.3141 | 81.95 |
| 2 | -83.2 | 0.0940 | 235.11 |
| 3 | -8.5 | 0.7436 | 107.51 |
| 4 | -35.1 | 0.6230 | 70.25 |
| 5 | -42.4 | 0.7593 | 365.82 |
| 6 | -109.5 | 0.6880 | 598.06 |
| 7 | -45.2 | 1.4964 | 84.26 |
| 8 | -27.4 | 1.1930 | 69.27 |
| 9 | -63.2 | 2.7171 | 203.48 |
| 10 | -10.0 | 1.4058 | 378.29 |
| 11 | -60.2 | 0.5905 | 678.96 |
| 12 | -49.1 | 0.4591 | 211.68 |